Material: YSc2Fe2
Method: DFT, PBE
State: relaxed

Unit cell a=7.2860 b=7.2860 c=3.7262 alpha=90.00 beta=90.00 gamma=90.00
Each line ends with the local moment (μB).
Fractional positions:
1 Fe 0.3890 0.8890 0.0000  1.94
2 Fe 0.1110 0.3890 0.0000  1.95
3 Fe 0.6110 0.1110 0.0000  1.94
4 Fe 0.8890 0.6110 0.0000  1.95
5 Sc 0.6667 0.8333 0.5000  -0.29
6 Sc 0.8333 0.3333 0.5000  -0.28
7 Sc 0.1667 0.6667 0.5000  -0.28
8 Sc 0.3333 0.1667 0.5000  -0.29
9 Y 0.5000 0.5000 0.0000  -0.14
10 Y 0.0000 0.0000 0.0000  -0.14

Properties
total moment: 5.64 μB per cell
formation energy: 3.0 kJ/mol of atoms
raw total energy: -7.180 eV/atom
distance to the lowest polymorph of the same formula: 0.00 eV per formula unit

=====

Material: YScFe2
Method: DFT, PBE
State: relaxed

Unit cell a=7.1965 b=7.1965 c=5.8580 alpha=52.10 beta=52.10 gamma=90.00
Each line ends with the local moment (μB).
Fractional positions:
1 Y 0.7500 0.2500 0.5000  -0.35
2 Y 0.0000 0.0000 0.0000  -0.35
3 Fe 0.3750 0.3904 0.7500  2.01
4 Fe 0.1404 0.6250 0.2500  2.01
5 Fe 0.8750 0.8596 0.7500  2.01
6 Fe 0.6096 0.1250 0.2500  2.00
7 Sc 0.2500 0.7500 0.5000  -0.49
8 Sc 0.5000 0.5000 0.0000  -0.49

Properties
total moment: 5.65 μB per cell
formation energy: 45.8 kJ/mol of atoms
raw total energy: -6.955 eV/atom

=====

Material: YScFe2
Method: DFT, PBE
State: relaxed

Unit cell a=6.6111 b=6.6111 c=6.6111 alpha=34.29 beta=34.29 gamma=34.29
Each line ends with the local moment (μB).
Fractional positions:
1 Sc 0.5374 0.5374 0.5374  -0.14
2 Y 0.7212 0.7212 0.7212  -0.10
3 Fe 0.2945 0.2945 0.2945  1.24
4 Fe 0.9469 0.9469 0.9469  1.26

Properties
total moment: 2.15 μB per cell
formation energy: -2.1 kJ/mol of atoms
raw total energy: -7.452 eV/atom

=====

Material: YScFe2
Method: DFT, PBE
State: relaxed

Unit cell a=5.5284 b=5.5284 c=5.5284 alpha=138.79 beta=138.79 gamma=59.70
Each line ends with the local moment (μB).
Fractional positions:
1 Sc 0.5000 0.5000 0.0000  -0.46
2 Y 0.7500 0.2500 0.5000  -0.35
3 Fe 0.0000 0.0000 0.0000  2.12
4 Fe 0.2500 0.7500 0.5000  1.98

Properties
total moment: 2.90 μB per cell
formation energy: 25.1 kJ/mol of atoms
raw total energy: -7.170 eV/atom